First-principles (GGA-PBE) data for a relaxed Al2CdAg crystal, as listed in Alexandria.

```
4
Lattice="2.9093 -0.0950 0.0000 -1.0827 2.7020 0.0000 0.0000 0.0000 9.6192" Properties=species:S:1:pos:R:3 pbc="T T T"
Al 0.0000 0.0000 9.5996
Al 0.9133 1.3035 2.2418
Ag 0.9133 1.3035 7.3710
Cd 0.0000 0.0000 4.8357
```

Computed properties:
The crystal system is orthorhombic.



First-principles (GGA-PBE) data for a relaxed AlCd2Ag crystal, as listed in Alexandria.

```
4
Lattice="3.1049 0.0000 0.0000 0.0000 5.0083 0.0071 0.0000 3.1242 5.0967" Properties=species:S:1:pos:R:3 pbc="T T T"
Al 0.0000 1.5621 2.5483
Ag 1.5525 4.0662 2.5519
Cd 0.0000 0.0000 0.0000
Cd 1.5525 2.5041 0.0035
```

Computed properties:
The crystal system is monoclinic.



First-principles (GGA-PBE) data for a relaxed AlCd2Ag crystal, as listed in Alexandria.

```
4
Lattice="5.2799 -0.0178 -0.0517 4.3691 2.9645 -0.0517 0.6336 0.1935 5.0219" Properties=species:S:1:pos:R:3 pbc="T T T"
Al 2.5706 0.7851 1.2297
Ag 7.7119 2.3552 3.6890
Cd 0.6630 0.2025 5.0198
Cd 5.1119 1.5612 2.4614
```

Computed properties:
The crystal system is monoclinic.



First-principles (GGA-PBE) data for a relaxed AlCd2Ag4 crystal, as listed in Alexandria.

```
7
Lattice="-0.4249 2.1664 -2.1169 -0.5363 -2.8888 -0.6391 -14.9875 3.0239 6.1030" Properties=species:S:1:pos:R:3 pbc="T T T"
Al -10.7010 1.9994 1.9845
Ag -14.9420 2.4646 3.3118
Ag -8.7195 0.0882 1.8405
Ag -3.6127 0.6855 1.4267
Ag -12.1943 3.4428 3.7614
Cd -1.7571 0.9261 -0.9092
Cd -6.3579 1.4795 0.5806
```

Computed properties:
The energy above the most stable polymorph in this dataset is 0 meV/atom. The crystal system is monoclinic.



First-principles (GGA-PBE) data for a relaxed AlCd2Ag crystal, as listed in Alexandria.

```
4
Lattice="-3.0702 -1.5645 3.5436 -0.9172 -2.3292 -1.8230 3.7086 -2.9631 1.9050" Properties=species:S:1:pos:R:3 pbc="T T T"
Al 0.7922 -4.5554 2.1224
Ag 1.1682 -2.8497 -0.2460
Cd 3.4323 -3.1248 1.5943
Cd -0.5673 -1.9362 2.1009
```

Computed properties:
The crystal system is monoclinic.



First-principles (GGA-PBE) data for a relaxed Al2Cd5Ag12 crystal, as listed in Alexandria.

```
19
Lattice="7.9008 0.0000 0.0000 -3.9504 6.6507 1.0331 0.0000 -1.1109 6.6614" Properties=species:S:1:pos:R:3 pbc="T T T"
Al 5.5551 0.0000 0.0000
Al 2.3456 0.0000 0.0000
Cd 0.0000 2.5319 4.3261
Cd 0.0000 4.0185 0.7076
Cd 0.0000 -0.5555 3.3307
Cd 3.9504 1.5213 6.9869
Cd 3.9504 3.0079 3.3684
Ag 3.9504 5.3306 1.5724
Ag -2.4674 3.7260 5.7926
Ag 2.4674 3.7260 5.7926
Ag -1.5805 4.6708 3.0792
Ag 1.5805 4.6708 3.0792
Ag 0.0000 5.1742 5.5253
Ag 3.9504 0.3656 2.1692
Ag 5.5309 0.8689 4.6153
Ag 2.3699 0.8689 4.6153
Ag 6.4178 1.8137 1.9018
Ag 1.4830 1.8137 1.9018
Ag 0.0000 0.2092 6.1221
```

Computed properties:
The crystal system is monoclinic.



First-principles (GGA-PBE) data for a relaxed AlCdAg2 crystal, as listed in Alexandria.

```
4
Lattice="-4.7394 0.8606 -2.8019 -1.6050 -4.1353 -3.3729 1.0894 1.7013 5.1934" Properties=species:S:1:pos:R:3 pbc="T T T"
Al -3.4111 0.4623 -0.3479
Ag -6.2383 -3.2199 -6.0715
Ag -3.2783 -1.6921 -3.1906
Cd -1.8439 -2.0357 -0.6334
```

Computed properties:
The crystal system is orthorhombic.



First-principles (GGA-PBE) data for a relaxed Al2CdAg8 crystal, as listed in Alexandria.

```
11
Lattice="4.1710 0.0000 0.0000 0.0000 6.5463 0.3366 -2.0855 -2.4713 6.9725" Properties=species:S:1:pos:R:3 pbc="T T T"
Al 2.0855 0.9627 3.9668
Al 0.0000 3.1123 3.3424
Cd 2.0855 0.0000 0.0000
Ag 0.0000 1.5273 5.7692
Ag 2.0855 5.1264 2.8594
Ag 2.0855 3.4345 5.2105
Ag 2.0855 -0.4440 6.3988
Ag 0.0000 0.6406 2.0987
Ag 0.0000 -1.0514 4.4497
Ag 2.0855 2.5477 1.5399
Ag 0.0000 4.5190 0.9103
```

Computed properties:
The crystal system is monoclinic.



no.,energy of formation from the pure elements (eV per atom)
1,0.088
2,0.057
3,0.059
4,-0.021
5,0.046
6,-0.020
7,0.022
8,-0.053